1.
Ba3Al2GaSn9 PBE optimized geometry; SG = P-3m1, No. 164; ΔE_f = -133 meV/atom
1.0
7.294 0.000 0.000
-3.647 6.317 0.000
0.000 0.000 10.918
Ba Al Ga Sn
3 2 1 9
direct
0.000 0.000 0.000 Ba
0.333 0.667 0.705 Ba
0.667 0.333 0.295 Ba
0.333 0.667 0.170 Al
0.667 0.333 0.830 Al
0.000 0.000 0.500 Ga
0.000 0.500 0.000 Sn
0.195 0.389 0.381 Sn
0.195 0.805 0.381 Sn
0.389 0.195 0.619 Sn
0.500 0.000 0.000 Sn
0.500 0.500 0.000 Sn
0.611 0.805 0.381 Sn
0.805 0.195 0.619 Sn
0.805 0.611 0.619 Sn

---

2.
NaNdNb4O12 PBE optimized geometry; SG = I4/mmm, No. 139; formation energy without anion corrections = -2.635 eV per atom; offset from the most stable computed form = 0.000 eV per atom
1.0
-2.809 2.809 8.015
2.809 -2.809 8.015
2.809 2.809 -8.015
Na Nd Nb O
1 1 4 12
direct
0.000 0.000 0.000 Na
0.500 0.500 0.000 Nd
0.129 0.629 0.500 Nb
0.371 0.871 0.500 Nb
0.629 0.129 0.500 Nb
0.871 0.371 0.500 Nb
0.000 0.500 0.500 O
0.144 0.144 0.515 O
0.144 0.629 0.000 O
0.250 0.750 0.500 O
0.371 0.371 0.515 O
0.371 0.856 0.000 O
0.500 0.000 0.500 O
0.629 0.144 0.000 O
0.629 0.629 0.485 O
0.750 0.250 0.500 O
0.856 0.371 0.000 O
0.856 0.856 0.485 O

---

3.
Ca2HoI PBE optimized geometry; SG = R-3m, No. 166; formation energy without anion corrections = -0.436 eV per atom
1.0
3.905 0.000 0.000
-1.952 3.382 0.000
0.000 0.000 32.318
Ca Ho I
6 3 3
direct
0.000 0.000 0.243 Ca
0.000 0.000 0.757 Ca
0.333 0.667 0.423 Ca
0.333 0.667 0.910 Ca
0.667 0.333 0.090 Ca
0.667 0.333 0.577 Ca
0.000 0.000 0.000 Ho
0.333 0.667 0.667 Ho
0.667 0.333 0.333 Ho
0.000 0.000 0.500 I
0.333 0.667 0.167 I
0.667 0.333 0.833 I

---

4.
NpNbZn4 PBE optimized geometry; SG = F-43m, No. 216; ΔE_f = 69 meV/atom
1.0
0.000 3.719 3.719
3.719 0.000 3.719
3.719 3.719 0.000
Np Nb Zn
1 1 4
direct
0.000 0.000 0.000 Np
0.250 0.250 0.250 Nb
0.129 0.624 0.624 Zn
0.624 0.129 0.624 Zn
0.624 0.624 0.129 Zn
0.624 0.624 0.624 Zn